First-principles (PBE with a Hubbard U) data for a relaxed NaFeC2O6 crystal, as listed in the Alexandria database.

**Raw total energy**: -7.06 eV per atom
**Volume**: 108.9 Å³ per cell
**Space-group type**: R-3

Unit cell a=4.8117 b=4.8117 c=6.1023 alpha=66.78 beta=66.78 gamma=60.00
Closest atoms and distances in Å follow each position.
Fractional coordinates of all 10 atoms:
O 0.5123 0.7230 0.7176  1 C 1.30
O 0.9529 0.4877 0.2824  1 C 1.30
O 0.2770 0.9529 0.2824  1 C 1.30
O 0.0471 0.5123 0.7176  1 C 1.30
O 0.4877 0.2770 0.2824  1 C 1.30
O 0.7230 0.0471 0.7176  1 C 1.30
Fe 0.5000 0.5000 0.5000  6 O 2.04
Na 0.0000 0.0000 0.0000  6 O 2.45
C 0.2378 0.2378 0.2866  3 O 1.30
C 0.7622 0.7622 0.7134  3 O 1.30